# 1
# K3Sn4Pd | Alexandria via LeMat-Bulk | GGA-PBE | optimized geometry
# **E**: -3.38 eV per atom
# **Energy of formation**: -0.32 eV/atom
# **Density**: 4.160 Mg/m³
data_K3Sn4Pd
_space_group_name_H-M_alt 'P m m n'
_space_group_IT_number 59
_cell_length_a 6.348
_cell_length_b 13.335
_cell_length_c 6.588
_cell_angle_alpha 90.00
_cell_angle_beta 90.00
_cell_angle_gamma 90.00
loop_
_space_group_symop_operation_xyz
'x,y,z'
'-x,-y,-z'
'-x+1/2,-y+1/2,z'
'x+1/2,y+1/2,-z'
'x+1/2,-y,-z'
'-x+1/2,y,z'
'-x,y+1/2,-z'
'x,-y+1/2,z'
loop_
_atom_site_label
_atom_site_fract_x
_atom_site_fract_y
_atom_site_fract_z
K1 0.250 0.006 0.187
K2 0.250 0.750 0.521
Sn1 0.002 0.250 0.989
Sn2 0.250 0.133 0.676
Pd1 0.250 0.250 0.333

=====

# 2
# GeBiSe2 | Alexandria via LeMat-Bulk | GGA-PBE | optimized geometry
# **E**: -3.86 eV per atom
# **Density**: 7.839 Mg/m³
# **Formation energy from raw total energies**: 0.03 eV/f.u.
# **Distance to the lowest polymorph of the same formula**: 0.706 eV/f.u.
data_GeBiSe2
_space_group_name_H-M_alt 'F m -3 m'
_space_group_IT_number 225
_space_group_name_Hall '-F 4 2 3'
_cell_length_a 7.195
_cell_length_b 7.195
_cell_length_c 7.195
_cell_angle_alpha 90.00
_cell_angle_beta 90.00
_cell_angle_gamma 90.00
loop_
_atom_site_label
_atom_site_fract_x
_atom_site_fract_y
_atom_site_fract_z
Ge1 0.000 0.000 0.000
Bi1 0.000 0.000 0.500
Se1 0.250 0.250 0.250

=====

# 3
# La3MgH | Alexandria via LeMat-Bulk | GGA-PBE | optimized geometry
# **E**: -4.11 eV per atom
# **Density**: 5.346 Mg/m³
# **Distance to the lowest polymorph of the same formula**: 0.000 eV/f.u.
data_La3MgH
_space_group_name_H-M_alt 'P m -3 m'
_space_group_IT_number 221
_space_group_name_Hall '-P 4 2 3'
_cell_length_a 5.159
_cell_length_b 5.159
_cell_length_c 5.159
_cell_angle_alpha 90.00
_cell_angle_beta 90.00
_cell_angle_gamma 90.00
loop_
_atom_site_label
_atom_site_fract_x
_atom_site_fract_y
_atom_site_fract_z
La1 0.000 0.000 0.500
Mg1 0.500 0.500 0.500
H1 0.000 0.000 0.000

=====

# 4
# LiAc4Pm3Se8 | Alexandria via LeMat-Bulk | GGA-PBE | optimized geometry
# **E**: -5.58 eV per atom
# **Density**: 7.229 Mg/m³
# **Formation energy from raw total energies**: -28.82 eV/f.u.
data_LiAc4Pm3Se8
_space_group_name_H-M_alt 'R -3 m'
_space_group_IT_number 166
_space_group_name_Hall '-R 3 2"'
_cell_length_a 8.6538
_cell_length_b 8.6538
_cell_length_c 21.0549
_cell_angle_alpha 90.00
_cell_angle_beta 90.00
_cell_angle_gamma 120.00
loop_
_atom_site_label
_atom_site_fract_x
_atom_site_fract_y
_atom_site_fract_z
Li1 0.0000 0.0000 0.0000
Ac1 0.0000 0.0000 0.5000
Ac2 0.0000 0.5000 0.5000
Pm1 0.0000 0.5000 0.0000
Se1 0.0000 0.0000 0.2557
Se2 0.0076 0.5038 0.7424

=====

# 5
# Mn2Co2Hg | Alexandria via LeMat-Bulk | GGA-PBE | optimized geometry
# **E**: -6.27 eV per atom
# **Energy of formation**: 0.30 eV/atom
# **Density**: 10.468 Mg/m³
# **Distance to the lowest polymorph of the same formula**: 0.000 eV/f.u.
data_Mn2Co2Hg
_space_group_name_H-M_alt 'P 4/m b m'
_space_group_IT_number 127
_space_group_name_Hall '-P 4 2ab'
_cell_length_a 6.931
_cell_length_b 6.931
_cell_length_c 2.829
_cell_angle_alpha 90.00
_cell_angle_beta 90.00
_cell_angle_gamma 90.00
loop_
_atom_site_label
_atom_site_fract_x
_atom_site_fract_y
_atom_site_fract_z
Mn1 0.155 0.345 0.000
Co1 0.134 0.634 0.500
Hg1 0.000 0.000 0.500

=====

# 6
# TmMnAl | Alexandria via LeMat-Bulk | GGA-PBE | optimized geometry
# **E**: -5.91 eV per atom
# **Energy of formation**: -0.12 eV/atom
# **Density**: 7.352 Mg/m³
data_TmMnAl
_space_group_name_H-M_alt 'I 4 m m'
_space_group_IT_number 107
_space_group_name_Hall 'I 4 -2'
_cell_length_a 3.224
_cell_length_b 3.224
_cell_length_c 10.905
_cell_angle_alpha 90.00
_cell_angle_beta 90.00
_cell_angle_gamma 90.00
loop_
_atom_site_label
_atom_site_fract_x
_atom_site_fract_y
_atom_site_fract_z
Tm1 0.000 0.000 0.000
Mn1 0.000 0.000 0.674
Al1 0.000 0.000 0.296

=====

> Which value of density does entry 2 give?

7.839 Mg/m³

=====

> Which of these has the highest density?

Mn2Co2Hg

=====

> The lowest E belongs to which entry?

Mn2Co2Hg